Crystalline Tl3Ru4 at its relaxed geometry, computed with PBE-GGA.

The space group is I4/mmm (No. 139) and the conventional cell measures 2.957, 2.957 and 29.681 Å, with angles of 90.00, 90.00 and 90.00 degrees. The distinct sites, in fractional coordinates, are Tl at (0.000, 0.000, 0.000), Tl at (0.000, 0.000, 0.301), Ru at (0.000, 0.000, 0.125) and Ru at (0.000, 0.000, 0.427).

The formation enthalpy at 0 K comes out at 423 meV per atom.